[1]
A relaxed structure of Ba2NaPd, computed with GGA-PBE.

a = 5.880 Å, b = 5.880 Å, c = 5.880 Å
α = 60.00°, β = 60.00°, γ = 60.00°
Positions (direct):
Pd: 0.500 0.500 0.500
Ba: 0.250 0.250 0.250
Ba: 0.750 0.750 0.750
Na: 0.000 0.000 0.000

As for the formation enthalpy at 0 K: -157 meV/atom. For the density of states at the Fermi level, the calculation gives 3.3 states/eV/cell. As for the space group: No. 225. The calculation puts the electronic total energy at -10.987 eV for the cell shown. For the energy above the most stable polymorph in this dataset, the calculation gives 132.3 meV/atom.


[2]
A relaxed structure of CaCeHg6, computed with GGA-PBE.

a = 5.180 Å, b = 6.779 Å, c = 6.779 Å
α = 119.98°, β = 90.00°, γ = 90.00°
Site moments in Bohr magnetons follow the coordinates.
Positions (direct):
Hg: 0.000 0.590 0.928  0.01
Hg: 0.000 0.072 0.410  0.01
Hg: 0.500 0.420 0.085  0.01
Hg: 0.500 0.915 0.580  0.01
Hg: 0.000 0.587 0.413  0.01
Hg: 0.500 0.916 0.084  0.01
Ca: 0.500 0.416 0.584  0.00
Ce: 0.000 0.084 0.916  0.94

As for the formation enthalpy at 0 K: -374 meV/atom. For the density of states at the Fermi level, the calculation gives 11.5 states/eV/cell. As for the space group: No. 38. The calculation puts the electronic total energy at -12.740 eV for the cell shown. For the energy above the most stable polymorph in this dataset, the calculation gives 0.0 meV/atom.


[3]
A relaxed structure of YAgTe2, computed with GGA-PBE.

a = 3.893 Å, b = 3.914 Å, c = 7.752 Å
α = 72.82°, β = 90.00°, γ = 90.00°
Positions (direct):
Ag: 0.500 0.750 0.750
Te: 0.000 0.657 0.486
Te: 0.000 0.843 0.014
Y: 0.500 0.250 0.250

For the density of states at the Fermi level, the calculation gives 1.4 states/eV/cell. As for the space group: No. 10. The calculation puts the electronic total energy at -18.359 eV for the cell shown. The calculation puts the formation energy from raw total energies at -2.76 eV/f.u.


[4]
A relaxed structure of CaTb3Sm2Bi6, computed with GGA-PBE.

a = 4.528 Å, b = 9.090 Å, c = 10.154 Å
α = 103.08°, β = 102.88°, γ = 90.00°
Positions (direct):
Tb: 0.834 0.166 0.668
Tb: 0.500 0.500 0.000
Tb: 0.166 0.834 0.332
Bi: 0.001 0.745 0.002
Bi: 0.669 0.081 0.337
Bi: 0.331 0.919 0.663
Bi: 0.666 0.585 0.332
Bi: 0.334 0.415 0.668
Bi: 0.999 0.255 0.998
Sm: 0.834 0.669 0.668
Sm: 0.166 0.331 0.332
Ca: 0.500 0.000 0.000

As for the formation enthalpy at 0 K: -857 meV/atom. For the density of states at the Fermi level, the calculation gives 4.0 states/eV/cell. As for the space group: No. 12. The calculation puts the electronic total energy at -58.905 eV for the cell shown.


Copy entry 4 word for word.
A relaxed structure of CaTb3Sm2Bi6, computed with GGA-PBE.

a = 4.528 Å, b = 9.090 Å, c = 10.154 Å
α = 103.08°, β = 102.88°, γ = 90.00°
Positions (direct):
Tb: 0.834 0.166 0.668
Tb: 0.500 0.500 0.000
Tb: 0.166 0.834 0.332
Bi: 0.001 0.745 0.002
Bi: 0.669 0.081 0.337
Bi: 0.331 0.919 0.663
Bi: 0.666 0.585 0.332
Bi: 0.334 0.415 0.668
Bi: 0.999 0.255 0.998
Sm: 0.834 0.669 0.668
Sm: 0.166 0.331 0.332
Ca: 0.500 0.000 0.000

As for the formation enthalpy at 0 K: -857 meV/atom. For the density of states at the Fermi level, the calculation gives 4.0 states/eV/cell. As for the space group: No. 12. The calculation puts the electronic total energy at -58.905 eV for the cell shown.